{"formula": "TlFeAs3", "functional": "GGA-PBE", "state": "optimized geometry", "lattice": [[4.706, 0.000, 0.000], [0.000, 4.706, 0.000], [0.000, 0.000, 4.706]], "species": ["Tl", "Fe", "As", "As", "As"], "fractional_positions": [[0.000, 0.000, 0.000], [0.500, 0.500, 0.500], [0.000, 0.500, 0.500], [0.500, 0.000, 0.500], [0.500, 0.500, 0.000]], "space_group": "Pm-3m, No. 221", "polymorph_energy_mev_per_atom": 0, "e_form_ev_per_atom": 0.36}

***

{"formula": "Nb6SeS3", "functional": "GGA-PBE", "state": "optimized geometry", "lattice": [[4.981, -5.630, 0.000], [4.981, 5.630, 0.000], [0.000, 0.000, 6.149]], "species": ["Nb", "Nb", "Nb", "Nb", "Nb", "Nb", "Nb", "Nb", "Nb", "Nb", "Nb", "Nb", "Se", "Se", "S", "S", "S", "S", "S", "S"], "fractional_positions": [[0.051, 0.949, 0.500], [0.074, 0.526, 0.524], [0.232, 0.768, 0.863], [0.284, 0.386, 0.976], [0.386, 0.284, 0.476], [0.474, 0.926, 0.524], [0.526, 0.074, 0.024], [0.614, 0.716, 0.976], [0.716, 0.614, 0.476], [0.768, 0.232, 0.363], [0.926, 0.474, 0.024], [0.949, 0.051, 0.000], [0.236, 0.764, 0.267], [0.764, 0.236, 0.767], [0.096, 0.250, 0.290], [0.250, 0.096, 0.790], [0.422, 0.578, 0.663], [0.578, 0.422, 0.163], [0.750, 0.904, 0.290], [0.904, 0.750, 0.790]], "space_group": "Cmc2_1, No. 36", "e_form_raw_kj_per_mol_atoms": -48}